1.
{
  "formula": "Sc4Co7Si6",
  "functional": "PBE",
  "state": "optimized geometry",
  "energy_ev_per_cell": -120.41,
  "sg": "No. 229",
  "cell": [[-3.8378, 3.8378, 3.8378], [3.8378, -3.8378, 3.8378], [3.8378, 3.8378, -3.8378]],
  "species": ["Co", "Co", "Co", "Co", "Co", "Co", "Co", "Si", "Si", "Si", "Si", "Si", "Si", "Sc", "Sc", "Sc", "Sc"],
  "frac_coords": [[0.7500, 0.5000, 0.2500], [0.5000, 0.2500, 0.7500], [0.2500, 0.7500, 0.5000], [0.2500, 0.5000, 0.7500], [0.7500, 0.2500, 0.5000], [0.0000, 0.0000, 0.0000], [0.5000, 0.7500, 0.2500], [0.3242, 0.3242, 0.0000], [0.6758, 0.0000, 0.6758], [0.0000, 0.3242, 0.3242], [0.0000, 0.6758, 0.6758], [0.6758, 0.6758, 0.0000], [0.3242, 0.0000, 0.3242], [0.0000, 0.5000, 0.0000], [0.5000, 0.0000, 0.0000], [0.0000, 0.0000, 0.5000], [0.5000, 0.5000, 0.5000]]
}

=====

2.
{
  "formula": "LaMgTaFe",
  "functional": "PBE",
  "state": "optimized geometry",
  "de_polymorph_mev_per_atom": 172.4,
  "sg": "No. 216",
  "cell": [[-1.5627, -4.4740, -0.2855], [-3.9085, -0.9940, -2.5052], [0.3458, -2.3785, -4.0943]],
  "species": ["Fe", "Mg", "La", "Ta"],
  "frac_coords": [[0.5000, 0.5000, 0.5000], [0.7500, 0.7500, 0.7500], [0.2500, 0.2500, 0.2500], [0.0000, 0.0000, 0.0000]]
}